Computed, not measured: an optimized crystal structure of TbAgSnS3 at the PBE-GGA level of DFT.

Cell and atoms, written as CIF:
```
data_TbAgSnS3
_chemical_formula_sum 'Tb4 Ag4 Sn4 S12'
_space_group_name_H-M_alt 'P n m a'
_space_group_IT_number 62
_space_group_name_Hall '-P 2ac 2n'
_cell_length_a 11.9197
_cell_length_b 3.9688
_cell_length_c 12.4068
_cell_angle_alpha 90.00
_cell_angle_beta 90.00
_cell_angle_gamma 90.00
loop_
_atom_site_label
_atom_site_fract_x
_atom_site_fract_y
_atom_site_fract_z
Tb1 0.0127 0.2500 0.1516
Ag1 0.1981 0.7500 0.3914
Sn1 0.1716 0.2500 0.5826
S1 0.0139 0.7500 0.3078
S2 0.1063 0.2500 0.9494
S3 0.2466 0.2500 0.2023
```

The value obtained for the energy above the most stable polymorph in this dataset is 0 meV per atom. The raw total energy is -4.97 eV/atom.